1.
A relaxed structure of ReP2Cl. Source: Alexandria via LeMat-Bulk, functional PBE.

The structure in POSCAR format:
```
ReP2Cl
1.0
2.379 -4.130 0.000
2.379 4.130 0.000
0.000 0.000 3.090
Re P Cl
1 2 1
direct
0.000 0.000 0.000
0.000 0.500 0.500
0.500 0.000 0.500
0.500 0.500 0.000
```

## Properties
- E_form (uncorrected) (meV/atom) = 855
- electronic total energy (eV per atom) = -5.423
- density (Mg/m³) = 7.75
- space-group type = Cmmm, No. 65
- magnetic moment (μB per atom) = 0.000

***

2.
A relaxed structure of ReP3Cl. Source: Alexandria via LeMat-Bulk, functional PBE.

The structure in POSCAR format:
```
ReP3Cl
1.0
4.303 0.000 0.000
0.000 4.303 0.000
0.000 0.000 4.303
Re P Cl
1 3 1
direct
0.000 0.000 0.000
0.000 0.500 0.500
0.500 0.000 0.500
0.500 0.500 0.000
0.500 0.500 0.500
```

## Properties
- E_form (uncorrected) (meV/atom) = 1793
- electronic total energy (eV per atom) = -4.311
- density (Mg/m³) = 6.56
- space-group type = Pm-3m, No. 221
- magnetic moment (μB per atom) = 0.000

***

3.
A relaxed structure of RePCl. Source: Alexandria via LeMat-Bulk, functional PBE.

The structure in POSCAR format:
```
RePCl
1.0
0.000 2.940 2.940
2.940 0.000 2.940
2.940 2.940 0.000
Re P Cl
1 1 1
direct
0.000 0.000 0.000
0.750 0.750 0.750
0.250 0.250 0.250
```

## Properties
- E_form (uncorrected) (meV/atom) = 442
- electronic total energy (eV per atom) = -6.126
- density (Mg/m³) = 8.26
- space-group type = F-43m, No. 216
- magnetic moment (μB per atom) = 0.285